Record 1
First-principles (PBE) data for SmAlGa after structural relaxation, as listed in the Alexandria database.

Summary:
For the total magnetization, the calculation gives 0.000 μB per cell. For the energy of formation from the pure elements, the calculation gives -333.4 meV/atom.

Cell lengths 7.7618, 7.7618, 6.5189 Å; angles 108.85, 108.85, 117.22 degrees
Closest atoms and distances in Å follow each position.
Fractional coordinates of all 12 atoms:
Sm 0.1250 0.3750 0.7500  4 Ga 3.15-3.35, 4 Al 3.18-3.46, 2 Sm 3.26
Al 0.1290 0.1290 0.2581  4 Ga 2.59-2.63, 1 Al 2.64
Al 0.3790 0.8790 0.7581  4 Ga 2.59-2.63, 1 Al 2.64
Ga 0.0783 0.9217 0.5000  4 Al 2.59-2.63
Ga 0.1717 0.8283 0.0000  4 Al 2.59-2.63
Al 0.1210 0.6210 0.2419  4 Ga 2.59-2.63, 1 Al 2.64
Ga 0.4217 0.5783 0.5000  4 Al 2.59-2.63
Ga 0.8283 0.1717 0.0000  4 Al 2.59-2.63
Sm 0.6250 0.3750 0.2500  4 Ga 3.15-3.35, 4 Al 3.18-3.46, 2 Sm 3.26
Al 0.8710 0.8710 0.7419  4 Ga 2.59-2.63, 1 Al 2.64
Sm 0.6250 0.3750 0.7500  4 Ga 3.15-3.35, 4 Al 3.18-3.46, 2 Sm 3.26
Sm 0.6250 0.8750 0.2500  4 Ga 3.15-3.35, 4 Al 3.18-3.46, 2 Sm 3.26

Record 2
First-principles (PBE) data for Nd2Sm3PuP6 after structural relaxation, as listed in the Alexandria database.

Summary:
For the total magnetization, the calculation gives 4.774 μB per cell. For the energy of formation from the pure elements, the calculation gives -1478.7 meV/atom.

Cell lengths 4.1118, 8.2129, 9.1736 Å; angles 102.91, 102.95, 90.00 degrees
Closest atoms and distances in Å follow each position.
Fractional coordinates of all 12 atoms:
Nd 0.1665 0.3340 0.3329  6 P 2.92-2.93
P 0.3342 0.4142 0.6684  3 Sm 2.89, 3 Nd 2.92
P 0.3365 0.9209 0.6730  1 Pu 2.85, 3 Sm 2.89-2.94, 2 Nd 2.93
Nd 0.8335 0.6660 0.6671  6 P 2.92-2.93
Sm 0.5000 0.5000 0.0000  6 P 2.89-2.96
P 0.6658 0.5858 0.3316  3 Sm 2.89, 3 Nd 2.92
P 0.0013 0.7594 0.0026  2 Pu 2.86, 3 Sm 2.90-2.96, 1 Nd 2.92
Sm 0.1676 0.8334 0.3353  6 P 2.89-2.94
P 0.6635 0.0791 0.3270  1 Pu 2.85, 3 Sm 2.89-2.94, 2 Nd 2.93
P 0.9987 0.2406 0.9974  2 Pu 2.86, 3 Sm 2.90-2.96, 1 Nd 2.92
Sm 0.8324 0.1666 0.6647  6 P 2.89-2.94
Pu 0.5000 0.0000 0.0000  6 P 2.85-2.86

Record 3
First-principles (PBE) data for VCdFeTc2 after structural relaxation, as listed in the Alexandria database.

Summary:
For the total magnetization, the calculation gives 0.934 μB per cell. For the energy of formation from the pure elements, the calculation gives 1647.1 meV/atom.

Cell lengths 4.3707, 4.9240, 4.3707 Å; angles 90.00, 90.00, 90.00 degrees
Closest atoms and distances in Å follow each position.
Fractional coordinates of all 5 atoms:
Fe 0.5000 0.5000 0.5000  4 Cd 3.09, 8 Tc 3.29
V 0.0000 0.0000 0.0000  4 Tc 2.19
Cd 0.0000 0.5000 0.0000  2 V 2.46
Tc 0.0000 0.0000 0.5000  2 V 2.19
Tc 0.5000 0.0000 0.0000  2 V 2.19

Record 4
First-principles (PBE) data for Na2Tl3Pb after structural relaxation, as listed in the Alexandria database.

Summary:
The value obtained for the excess energy over the best structure of this formula in the dataset is 0.0000 eV per atom. For the total magnetization, the calculation gives 0.000 μB per cell. For the energy of formation from the pure elements, the calculation gives -74.0 meV/atom.

Cell lengths 6.4153, 6.4153, 8.8980 Å; angles 82.59, 82.59, 96.67 degrees
Closest atoms and distances in Å follow each position.
Fractional coordinates of all 12 atoms:
Na 0.3766 0.8727 0.8761  2 Na 3.36-3.38, 9 Tl 3.53-3.72, 3 Pb 3.56-3.70
Na 0.6234 0.1273 0.1239  2 Na 3.36-3.38, 9 Tl 3.53-3.72, 3 Pb 3.56-3.70
Tl 0.1661 0.3355 0.9947  3 Tl 3.17-3.40, 2 Pb 3.19-3.34, 1 Na 3.53
Na 0.1273 0.6234 0.6239  2 Na 3.36-3.38, 9 Tl 3.53-3.72, 3 Pb 3.56-3.70
Pb 0.9253 0.0747 0.7500  5 Tl 3.19-3.34, 2 Na 3.56
Pb 0.0747 0.9253 0.2500  5 Tl 3.19-3.34, 2 Na 3.56
Tl 0.3355 0.1661 0.4947  3 Tl 3.17-3.40, 2 Pb 3.19-3.34, 1 Na 3.53
Tl 0.4102 0.5898 0.2500  4 Tl 3.20-3.40, 1 Pb 3.22, 2 Na 3.54
Tl 0.8339 0.6645 0.0053  3 Tl 3.17-3.40, 2 Pb 3.19-3.34, 1 Na 3.53
Na 0.8727 0.3766 0.3761  2 Na 3.36-3.38, 9 Tl 3.53-3.72, 3 Pb 3.56-3.70
Tl 0.5898 0.4102 0.7500  4 Tl 3.20-3.40, 1 Pb 3.22, 2 Na 3.54
Tl 0.6645 0.8339 0.5053  3 Tl 3.17-3.40, 2 Pb 3.19-3.34, 1 Na 3.53

Record 5
First-principles (PBE) data for PrDy2MgHg4 after structural relaxation, as listed in the Alexandria database.

Summary:
For the total magnetization, the calculation gives 0.000 μB per cell. For the energy of formation from the pure elements, the calculation gives -443.2 meV/atom.

Cell lengths 5.1322, 5.1322, 9.4467 Å; angles 74.24, 74.24, 60.00 degrees
Closest atoms and distances in Å follow each position.
Fractional coordinates of all 8 atoms:
Dy 0.7579 0.7579 0.7264  7 Hg 3.11-3.18
Pr 0.0000 0.0000 0.0000  8 Hg 3.24-3.41
Hg 0.3818 0.3818 0.8546  3 Dy 3.18, 1 Mg 3.18, 3 Pr 3.24
Hg 0.6182 0.6182 0.1454  3 Dy 3.18, 1 Mg 3.18, 3 Pr 3.24
Hg 0.8733 0.8733 0.3800  4 Dy 3.11, 3 Mg 3.15, 1 Pr 3.41
Dy 0.2421 0.2421 0.2736  7 Hg 3.11-3.18
Hg 0.1267 0.1267 0.6200  4 Dy 3.11, 3 Mg 3.15, 1 Pr 3.41
Mg 0.5000 0.5000 0.5000  8 Hg 3.15-3.18

Record 6
First-principles (PBE) data for AcPrSc after structural relaxation, as listed in the Alexandria database.

Summary:
The value obtained for the excess energy over the best structure of this formula in the dataset is 0.0239 eV per atom. For the total magnetization, the calculation gives 0.000 μB per cell. For the energy of formation from the pure elements, the calculation gives 122.4 meV/atom.

Cell lengths 3.7106, 3.7106, 8.7779 Å; angles 90.00, 90.00, 120.00 degrees
Closest atoms and distances in Å follow each position.
Fractional coordinates of all 3 atoms:
Pr 0.0000 0.0000 0.0199  3 Sc 3.45, 6 Pr 3.71
Ac 0.3333 0.6667 0.6521  3 Sc 3.56, 6 Ac 3.71, 3 Pr 3.87
Sc 0.6667 0.3333 0.3280  3 Pr 3.45, 3 Ac 3.56, 6 Sc 3.71

Record 7
First-principles (PBE) data for CsRbZnAu3 after structural relaxation, as listed in the Alexandria database.

Summary:
For the total magnetization, the calculation gives 0.000 μB per cell. For the energy of formation from the pure elements, the calculation gives -171.5 meV/atom.

Cell lengths 8.1311, 7.0633, 8.7258 Å; angles 66.13, 82.82, 72.01 degrees
Closest atoms and distances in Å follow each position.
Fractional coordinates of all 12 atoms:
Au 0.4751 0.0747 0.1545  2 Zn 2.56-2.63, 1 Au 2.87
Zn 0.2500 0.9907 0.0187  5 Au 2.56-2.66
Au 0.5249 0.9253 0.8455  2 Zn 2.56-2.63, 1 Au 2.87
Rb 0.7500 0.4179 0.1642  5 Au 3.62-3.86, 2 Zn 3.82
Au 0.0249 0.7707 0.1545  2 Zn 2.56-2.63, 1 Au 2.87
Cs 0.7500 0.7412 0.5177  6 Au 3.61-3.68
Rb 0.2500 0.5821 0.8358  5 Au 3.62-3.86, 2 Zn 3.82
Au 0.9751 0.2293 0.8455  2 Zn 2.56-2.63, 1 Au 2.87
Au 0.2500 0.8237 0.3526  1 Zn 2.66, 2 Au 2.87
Au 0.7500 0.1763 0.6474  1 Zn 2.66, 2 Au 2.87
Zn 0.7500 0.0093 0.9813  5 Au 2.56-2.66
Cs 0.2500 0.2588 0.4823  6 Au 3.61-3.68

Record 8
First-principles (PBE) data for Sm4Y10Tm after structural relaxation, as listed in the Alexandria database.

Summary:
For the total magnetization, the calculation gives 0.000 μB per cell. For the energy of formation from the pure elements, the calculation gives 746.8 meV/atom.

Cell lengths 7.7289, 9.4719, 9.4719 Å; angles 80.42, 65.92, 65.92 degrees
Closest atoms and distances in Å follow each position.
Fractional coordinates of all 15 atoms:
Y 0.8504 0.7021 0.1005  1 Tm 3.33, 3 Sm 3.35
Y 0.7500 0.5000 0.5000  4 Sm 3.36
Y 0.2500 0.5000 0.5000  4 Sm 3.36
Y 0.6529 0.2979 0.8995  1 Tm 3.33, 3 Sm 3.35
Y 0.3471 0.7021 0.1005  1 Tm 3.33, 3 Sm 3.35
Y 0.1496 0.2979 0.8995  1 Tm 3.33, 3 Sm 3.35
Y 0.0492 0.1005 0.2979  1 Tm 3.33, 3 Sm 3.35
Y 0.4475 0.8995 0.7021  1 Tm 3.33, 3 Sm 3.35
Y 0.9508 0.8995 0.7021  1 Tm 3.33, 3 Sm 3.35
Y 0.5525 0.1005 0.2979  1 Tm 3.33, 3 Sm 3.35
Sm 0.2011 0.3999 0.1979  8 Y 3.35-3.36
Sm 0.6010 0.1979 0.6001  8 Y 3.35-3.36
Sm 0.7989 0.6001 0.8021  8 Y 3.35-3.36
Tm 0.0000 0.0000 0.0000  8 Y 3.33
Sm 0.3990 0.8021 0.3999  8 Y 3.35-3.36

Record 9
First-principles (PBE) data for YNiRh2 after structural relaxation, as listed in the Alexandria database.

Summary:
For the total magnetization, the calculation gives 0.000 μB per cell. For the energy of formation from the pure elements, the calculation gives -204.9 meV/atom.

Cell lengths 3.0274, 3.7287, 5.8145 Å; angles 90.00, 90.00, 90.00 degrees
Closest atoms and distances in Å follow each position.
Fractional coordinates of all 4 atoms:
Rh 0.0000 0.0000 0.9843  4 Ni 2.65, 4 Rh 2.77, 1 Y 2.80
Rh 0.5000 0.5000 0.2208  1 Ni 2.49, 4 Rh 2.77
Y 0.0000 0.0000 0.5025  6 Rh 2.80-3.01, 4 Ni 2.93, 2 Y 3.03
Ni 0.5000 0.5000 0.7924  5 Rh 2.49-2.65

Record 10
First-principles (PBE) data for Pr3ErSe4 after structural relaxation, as listed in the Alexandria database.

Summary:
The value obtained for the excess energy over the best structure of this formula in the dataset is 0.0047 eV per atom. The value obtained for the uncorrected formation energy is -1390.6 kJ/mol of formula units. For the total magnetization, the calculation gives 0.000 μB per cell.

Cell lengths 4.1397, 7.3379, 7.3379 Å; angles 108.60, 90.00, 90.00 degrees
Closest atoms and distances in Å follow each position.
Fractional coordinates of all 8 atoms:
Se 0.0000 0.2350 0.2350  2 Er 2.89, 4 Pr 2.98-3.07
Pr 0.0000 0.0000 0.5000  6 Se 2.98
Er 0.5000 0.0000 0.0000  6 Se 2.89
Se 0.0000 0.7650 0.7650  2 Er 2.89, 4 Pr 2.98-3.07
Se 0.5000 0.2424 0.7576  1 Er 2.89, 5 Pr 2.98-3.07
Se 0.5000 0.7576 0.2424  1 Er 2.89, 5 Pr 2.98-3.07
Pr 0.5000 0.5000 0.5000  6 Se 3.07
Pr 0.0000 0.5000 0.0000  6 Se 2.98

Record 11
First-principles (PBE) data for FeS after structural relaxation, as listed in the Alexandria database.

Summary:
The value obtained for the uncorrected formation energy is -63.2 kJ/mol of formula units. For the total magnetization, the calculation gives 0.001 μB per cell.

Cell lengths 8.9752, 8.9752, 3.4030 Å; angles 90.00, 90.00, 90.00 degrees
Closest atoms and distances in Å follow each position.
Fractional coordinates of all 16 atoms:
Fe 0.6516 0.7822 0.0000  4 S 2.12-2.16
Fe 0.1516 0.2822 0.5000  4 S 2.12-2.16
S 0.4153 0.7899 0.0000  4 Fe 2.12-2.16
Fe 0.8484 0.7178 0.5000  4 S 2.12-2.16
S 0.7101 0.9153 0.5000  4 Fe 2.12-2.16
S 0.5847 0.2101 0.0000  4 Fe 2.12-2.16
Fe 0.2822 0.8484 0.5000  4 S 2.12-2.16
S 0.9153 0.2899 0.5000  4 Fe 2.12-2.16
S 0.2101 0.4153 0.0000  4 Fe 2.12-2.16
Fe 0.7178 0.1516 0.5000  4 S 2.12-2.16
S 0.7899 0.5847 0.0000  4 Fe 2.12-2.16
S 0.2899 0.0847 0.5000  4 Fe 2.12-2.16
S 0.0847 0.7101 0.5000  4 Fe 2.12-2.16
Fe 0.2178 0.6516 0.0000  4 S 2.12-2.16
Fe 0.3484 0.2178 0.0000  4 S 2.12-2.16
Fe 0.7822 0.3484 0.0000  4 S 2.12-2.16

Record 12
First-principles (PBE) data for ZnCr3Te after structural relaxation, as listed in the Alexandria database.

Summary:
The value obtained for the excess energy over the best structure of this formula in the dataset is 0.2270 eV per atom. The value obtained for the uncorrected formation energy is 594.2 kJ/mol of formula units. For the total magnetization, the calculation gives 13.876 μB per cell.

Cell lengths 5.2219, 5.2219, 5.2219 Å; angles 90.00, 90.00, 90.00 degrees
Closest atoms and distances in Å follow each position.
Fractional coordinates of all 5 atoms:
Cr 0.5000 0.0000 0.0000  2 Te 2.61
Cr 0.0000 0.5000 0.0000  2 Te 2.61
Cr 0.0000 0.0000 0.5000  2 Te 2.61
Zn 0.5000 0.5000 0.5000  12 Cr 3.69
Te 0.0000 0.0000 0.0000  6 Cr 2.61